1.
The following is a DFT calculation (PBE) of Cd3Au after structural relaxation.

Properties
DOS at the Fermi energy (states/eV per atom): 0.276
Crystal system: orthorhombic
Formation energy (meV per atom): -85
V (Å³/atom): 20.59
VASP energy (eV per cell): -12.7

abc: 3.2268 9.6119 5.3119
angles: 90.00 90.00 90.00
Closest atoms and distances in Å follow each position.
Space group Imm2 (No. 44)
One atom of each set of equivalent atoms:
Cd: 0.0000 0.0000 0.0000 (multiplicity 2)  8 Cd 2.98-3.23, 4 Au 3.00-3.22
Cd: 0.0000 0.2404 0.3541 (multiplicity 4)  3 Au 2.96-3.05, 9 Cd 2.98-3.23
Au: 0.0000 0.5000 0.0237 (multiplicity 2)  10 Cd 2.96-3.22, 2 Au 3.23

***

2.
The following is a DFT calculation (PBE) of CaHf2CoNi after structural relaxation.

Properties
DOS at the Fermi energy (states/eV per atom): 1.459
Crystal system: tetragonal
Formation energy (meV per atom): 703
V (Å³/atom): 22.90
VASP energy (eV per cell): -31.3

abc: 4.7434 4.7434 5.0900
angles: 90.00 90.00 90.00
Closest atoms and distances in Å follow each position.
Space group P4/mmm (No. 123)
One atom of each set of equivalent atoms:
Ca: 0.0000 0.0000 0.0000 (multiplicity 1)  2 Ni 2.54
Hf: 0.0000 0.5000 0.5000 (multiplicity 2)  2 Ni 2.37
Co: 0.5000 0.5000 0.0000 (multiplicity 1)  4 Ca 3.35, 8 Hf 3.48
Ni: 0.0000 0.0000 0.5000 (multiplicity 1)  4 Hf 2.37, 2 Ca 2.54

***

What did the second record say?
The following is a DFT calculation (PBE) of CaHf2CoNi after structural relaxation.

Properties
DOS at the Fermi energy (states/eV per atom): 1.459
Crystal system: tetragonal
Formation energy (meV per atom): 703
V (Å³/atom): 22.90
VASP energy (eV per cell): -31.3

abc: 4.7434 4.7434 5.0900
angles: 90.00 90.00 90.00
Closest atoms and distances in Å follow each position.
Space group P4/mmm (No. 123)
One atom of each set of equivalent atoms:
Ca: 0.0000 0.0000 0.0000 (multiplicity 1)  2 Ni 2.54
Hf: 0.0000 0.5000 0.5000 (multiplicity 2)  2 Ni 2.37
Co: 0.5000 0.5000 0.0000 (multiplicity 1)  4 Ca 3.35, 8 Hf 3.48
Ni: 0.0000 0.0000 0.5000 (multiplicity 1)  4 Hf 2.37, 2 Ca 2.54